Below is an optimized crystal structure of Tb3Y7Mg, with properties calculated at the GGA-PBE level.

The raw total energy comes out at -5.40 eV per atom. The volume comes out at 1403 Å³/cell. The calculation puts the relative energy among the computed polymorphs at 0.0 meV per atom. The formation energy from the elements comes out at 0.12 eV/atom.

The structure belongs to space group Cmc2_1 (No. 36); the cell edges are 18.4606, 6.8339 and 11.1230 Å and the angles 90.00°, 90.00° and 90.00°. The distinct sites, in fractional coordinates, are Tb at (0.0000, 0.9995, 0.0000), Tb at (0.2384, 0.0096, 0.2515), Y at (0.0000, 0.2297, 0.7500), Y at (0.0868, 0.2883, 0.2506), Y at (0.1588, 0.2584, 0.9665), Y at (0.1599, 0.2566, 0.5345) and Mg at (0.0000, 0.5002, 0.0005).



Below is an optimized crystal structure of Li3PaMn2Se6, with properties calculated at the GGA-PBE level.

The calculation puts the raw formation energy at -12.43 eV/f.u. The raw total energy comes out at -5.58 eV per atom. The volume comes out at 507 Å³/cell.

The structure belongs to space group C2/m (No. 12); the cell edges are 6.7256, 11.6413 and 6.8459 Å and the angles 90.00°, 109.09° and 90.00°. The distinct sites, in fractional coordinates, are Li at (0.0000, 0.0000, 0.0000), Li at (0.0000, 0.3361, 0.0000), Pa at (0.0000, 0.5000, 0.5000), Mn at (0.0000, 0.1673, 0.5000), Se at (0.2397, 0.0000, 0.7443) and Se at (0.2480, 0.1707, 0.2546).



Below is an optimized crystal structure of Pr3SbTe2, with properties calculated at the GGA-PBE level.

The calculation puts the raw formation energy at -8.37 eV/f.u. The raw total energy comes out at -5.52 eV per atom. The volume comes out at 398 Å³/cell.

The structure belongs to space group Immm (No. 71); the cell edges are 4.5269, 6.4151 and 13.7048 Å and the angles 90.00°, 90.00° and 90.00°. The distinct sites, in fractional coordinates, are Pr at (0.0000, 0.0000, 0.0000), Pr at (0.0000, 0.0000, 0.3393), Sb at (0.0000, 0.5000, 0.0000) and Te at (0.0000, 0.5000, 0.3318).